# TaAlCl3 PBEsol relaxed
# Formation energy without anion corrections = 480 meV per atom
# E_tot = -4.05 eV per atom
data_TaAlCl3
_chemical_formula_sum 'Ta1 Al1 Cl3'
_cell_length_a 4.760
_cell_length_b 4.760
_cell_length_c 4.760
_cell_angle_alpha 90.00
_cell_angle_beta 90.00
_cell_angle_gamma 90.00
_space_group_name_H-M_alt 'P m -3 m'
_space_group_IT_number 221
_space_group_name_Hall '-P 4 2 3'
loop_
_atom_site_label
_atom_site_type_symbol
_atom_site_fract_x
_atom_site_fract_y
_atom_site_fract_z
Ta1 Ta 0.000 0.000 0.000
Al1 Al 0.500 0.500 0.500
Cl1 Cl 0.000 0.500 0.500